1.
# Hf2SiTe

Hf2SiTe at its PBEsol-relaxed geometry (meta-GGA SCAN, Alexandria via LeMat-Bulk).

Its uncorrected formation energy is -0.2475 eV per atom. As for the energy above the most stable polymorph in this dataset: 0.000 eV per formula unit. The value obtained for the total DFT energy (no corrections) is -43.4007 eV/atom.

The space group is Fm-3m (No. 225) and the conventional cell measures 6.769, 6.769 and 6.769 Å, with angles of 90.00, 90.00 and 90.00 degrees. The distinct sites, in fractional coordinates, are Hf at (0.250, 0.250, 0.250), Si at (0.000, 0.000, 0.000) and Te at (0.000, 0.000, 0.500).

2.
# HfTi2Si2

HfTi2Si2 at its PBEsol-relaxed geometry (meta-GGA SCAN, Alexandria via LeMat-Bulk).

Its uncorrected formation energy is -0.7551 eV per atom. The value obtained for the total DFT energy (no corrections) is -23.7080 eV/atom.

The space group is P4/mbm (No. 127) and the conventional cell measures 6.850, 6.850 and 3.332 Å, with angles of 90.00, 90.00 and 90.00 degrees. The distinct sites, in fractional coordinates, are Hf at (0.000, 0.000, 0.000), Ti at (0.172, 0.328, 0.500) and Si at (0.124, 0.624, 0.000).

3.
# HfTl2Si

HfTl2Si at its PBEsol-relaxed geometry (meta-GGA SCAN, Alexandria via LeMat-Bulk).

Its uncorrected formation energy is 0.7147 eV per atom. The value obtained for the total DFT energy (no corrections) is -53.6367 eV/atom.

The space group is Fm-3m (No. 225) and the conventional cell measures 7.094, 7.094 and 7.094 Å, with angles of 90.00, 90.00 and 90.00 degrees. The distinct sites, in fractional coordinates, are Hf at (0.000, 0.000, 0.000), Tl at (0.250, 0.250, 0.250) and Si at (0.000, 0.000, 0.500).

4.
# HfVSi

HfVSi at its PBEsol-relaxed geometry (meta-GGA SCAN, Alexandria via LeMat-Bulk).

Its uncorrected formation energy is -0.7447 eV per atom. The value obtained for the total DFT energy (no corrections) is -30.8037 eV/atom.

The space group is P4/nmm (No. 129, origin choice 2) and the conventional cell measures 3.619, 3.619 and 7.109 Å, with angles of 90.00, 90.00 and 90.00 degrees. The distinct sites, in fractional coordinates, are Hf at (0.250, 0.250, 0.139), V at (0.250, 0.750, 0.500) and Si at (0.250, 0.250, 0.748).